one | PuCd3Pd: optimized geometry, PBE.

Lattice parameters (Å, degrees): 7.4529 7.4529 15.9037 90.00 90.00 120.00
Space group R3c (No. 161, hexagonal axes)
One atom of each set of equivalent atoms:
Pu  0.0000  0.0000  0.0000 x6
Cd  0.0673  0.5300  0.4805 x18
Pd  0.0000  0.0000  0.1775 x6

***

two | PuCd3Pd: optimized geometry, PBE.

Lattice parameters (Å, degrees): 5.510 5.828 7.558 90.00 110.66 90.00
Space group P2_1/m (No. 11)
One atom of each set of equivalent atoms:
Pu  0.091  0.250  0.389 x2
Cd  0.052  0.250  0.894 x2
Cd  0.490  0.502  0.193 x4
Pd  0.332  0.750  0.466 x2

***

Most stable to least stable, the ends of the list are two and one.

***

one | RbCd4Pd: optimized geometry, PBE.

Lattice parameters (Å, degrees): 5.061 10.107 8.037 90.00 91.33 90.00
Space group P2_1 (No. 4)
One atom of each set of equivalent atoms:
Rb  0.009  0.000  0.260 x2
Cd  0.020  0.000  0.783 x2
Cd  0.482  0.341  0.370 x2
Cd  0.484  0.662  0.368 x2
Cd  0.500  0.250  0.002 x2
Pd  0.475  0.501  0.102 x2

***

two | RbCd4Pd: optimized geometry, PBE.

Lattice parameters (Å, degrees): 5.255 5.255 8.027 90.00 90.00 90.00
Space group P4/mmm (No. 123)
One atom of each set of equivalent atoms:
Rb  0.000  0.000  0.000 x1
Cd  0.000  0.500  0.500 x2
Cd  0.500  0.500  0.176 x2
Pd  0.500  0.500  0.500 x1

***

Most stable to least stable, the ends of the list are one and two.

***

one | RbCdPd3: optimized geometry, PBE.

Lattice parameters (Å, degrees): 5.176 5.176 5.176 90.00 90.00 90.00
Space group Pm-3m (No. 221)
One atom of each set of equivalent atoms:
Rb  0.000  0.000  0.000 x1
Cd  0.500  0.500  0.500 x1
Pd  0.000  0.000  0.500 x3

***

two | RbCdPd3: optimized geometry, PBE.

Lattice parameters (Å, degrees): 5.149 5.149 5.149 90.00 90.00 90.00
Space group Pm-3m (No. 221)
One atom of each set of equivalent atoms:
Rb  0.000  0.000  0.000 x1
Cd  0.500  0.500  0.500 x1
Pd  0.000  0.500  0.500 x3

***

Most stable to least stable, the ends of the list are two and one.